[1]
The following is a PBE calculation of a relaxed structure of AgPb3, from the Alexandria database.

energy of formation: 167 meV per atom
E_tot: -3.33 eV per atom
DOS(E_F): 2.36 states/eV/cell

a b c (Å): 6.292 6.292 6.292
angles (deg): 116.75 116.75 116.75
Sites, in units of the cell vectors:
Ag  0.000  0.000  0.000
Pb  0.000  0.500  0.500
Pb  0.500  0.000  0.500
Pb  0.500  0.500  0.000

[2]
The following is a PBE calculation of a relaxed structure of Nd2Er3Tm, from the Alexandria database.

offset from the most stable computed form: 0.0 meV/atom
energy of formation: 99 meV per atom
E_tot: -4.52 eV per atom
DOS(E_F): 19.29 states/eV/cell

a b c (Å): 8.958 8.958 9.961
angles (deg): 123.08 123.08 36.17
Sites, in units of the cell vectors:
Nd  0.007  0.007  0.357
Nd  0.269  0.269  0.627
Nd  0.731  0.731  0.373
Nd  0.993  0.993  0.643
Er  0.113  0.113  0.154
Er  0.210  0.210  0.926
Er  0.453  0.453  0.109
Er  0.547  0.547  0.891
Er  0.790  0.790  0.074
Er  0.887  0.887  0.846
Tm  0.367  0.367  0.364
Tm  0.633  0.633  0.636